1:
# BeSi2Se

An optimized crystal structure of BeSi2Se (GGA-PBEsol, Alexandria via LeMat-Bulk). Values from VASP.

Results
Density of states at the Fermi level   1.0 states/eV/f.u.
Symmetry   Pm

```
&SYSTEM
  ibrav = 0, nat = 4, ntyp = 3
/
ATOMIC_SPECIES
Be 9.01 Be.upf
Si 28.09 Si.upf
Se 78.96 Se.upf
ATOMIC_POSITIONS angstrom
Be 1.276 -1.324 -1.732
Si -0.866 -1.393 -2.835
Si 0.052 -3.447 -2.293
Se 2.367 -3.371 -1.099
CELL_PARAMETERS angstrom
-0.797 -3.043 1.739
-1.484 -1.342 -3.029
4.890 -2.091 -1.417
```

2:
# BeSi2Se

An optimized crystal structure of BeSi2Se (GGA-PBEsol, Alexandria via LeMat-Bulk). Values from VASP.

Results
Density of states at the Fermi level   1.6 states/eV/f.u.
Symmetry   P4/mmm

```
&SYSTEM
  ibrav = 0, nat = 4, ntyp = 3
/
ATOMIC_SPECIES
Be 9.01 Be.upf
Si 28.09 Si.upf
Se 78.96 Se.upf
ATOMIC_POSITIONS angstrom
Be 1.602 1.602 0.000
Si 0.000 0.000 4.463
Si 0.000 0.000 1.204
Se 1.602 1.602 2.833
CELL_PARAMETERS angstrom
3.203 0.000 0.000
0.000 3.203 0.000
0.000 0.000 5.667
```

1 has the most favorable energy; the next structure is 0.278 eV/atom above.

1:
# Be2TeSe

An optimized crystal structure of Be2TeSe (GGA-PBEsol, Alexandria via LeMat-Bulk). Values from VASP.

Results
Density of states at the Fermi level   1.0 states/eV/f.u.
Symmetry   Immm

```
&SYSTEM
  ibrav = 0, nat = 4, ntyp = 3
/
ATOMIC_SPECIES
Be 9.01 Be.upf
Te 127.60 Te.upf
Se 78.96 Se.upf
ATOMIC_POSITIONS angstrom
Be 1.670 1.962 3.662
Be 1.670 3.925 1.360
Te 1.670 0.000 0.000
Se 3.339 2.944 2.511
CELL_PARAMETERS angstrom
3.339 0.000 0.000
1.670 5.189 -0.122
1.670 0.699 5.143
```

2:
# Be2TeSe

An optimized crystal structure of Be2TeSe (GGA-PBEsol, Alexandria via LeMat-Bulk). Values from VASP.

Results
Density of states at the Fermi level   1.1 states/eV/f.u.
Symmetry   Cmmm

```
&SYSTEM
  ibrav = 0, nat = 4, ntyp = 3
/
ATOMIC_SPECIES
Be 9.01 Be.upf
Te 127.60 Te.upf
Se 78.96 Se.upf
ATOMIC_POSITIONS angstrom
Be 0.000 0.000 4.958
Be 0.000 0.000 1.885
Te 1.686 0.000 0.000
Se 1.686 0.000 3.422
CELL_PARAMETERS angstrom
3.371 0.000 0.000
-1.686 4.002 0.000
0.000 0.000 6.843
```

3:
# Be2TeSe

An optimized crystal structure of Be2TeSe (GGA-PBEsol, Alexandria via LeMat-Bulk). Values from VASP.

Results
Density of states at the Fermi level   0.0 states/eV/f.u.
Symmetry   I-42d

```
&SYSTEM
  ibrav = 0, nat = 8, ntyp = 3
/
ATOMIC_SPECIES
Be 9.01 Be.upf
Te 127.60 Te.upf
Se 78.96 Se.upf
ATOMIC_POSITIONS angstrom
Be 1.496 4.031 1.342
Be 3.879 1.344 1.342
Be -1.344 -1.191 4.026
Be 1.344 1.191 4.026
Te 0.000 2.688 2.684
Te 0.000 0.000 0.000
Se 2.688 0.000 2.684
Se 2.688 2.688 0.000
CELL_PARAMETERS angstrom
5.375 0.000 0.000
0.000 5.375 0.000
-2.688 -2.688 5.368
```

3 has the most favorable energy; the next structure is 0.769 eV/atom above.